Entry 1:
Entry from Alexandria: a relaxed TlCo2TcC crystal (PBEsol).

The structure belongs to space group P4/mmm (No. 123); the cell edges are 4.5521, 4.5521 and 3.8776 Å and the angles 90.00°, 90.00° and 90.00°. The distinct sites, in fractional coordinates, are Tl at (0.0000, 0.0000, 0.0000), Co at (0.0000, 0.5000, 0.5000), Tc at (0.5000, 0.5000, 0.5000) and C at (0.5000, 0.5000, 0.0000).

The total magnetic moment comes out at 2.84 μB per formula unit. The total energy comes out at -31.80 eV/f.u. As for the formation energy from the elements: 1.44 eV per atom.



Entry 2:
Entry from Alexandria: a relaxed RbAlF4 crystal (PBEsol).

The structure belongs to space group I4/mcm (No. 140); the cell edges are 5.1182, 5.1182 and 12.5624 Å and the angles 90.00°, 90.00° and 90.00°. The distinct sites, in fractional coordinates, are Rb at (0.0000, 0.5000, 0.2500), Al at (0.0000, 0.0000, 0.0000), F at (0.0000, 0.0000, 0.1411) and F at (0.2048, 0.2952, 0.0000).

The formation energy without anion corrections comes out at -3.386 eV/atom. The total magnetic moment comes out at 0.00 μB per formula unit. The total energy comes out at -33.14 eV/f.u.



Entry 3:
Entry from Alexandria: a relaxed MnPOs2 crystal (PBEsol).

The structure belongs to space group F-43m (No. 216); the cell edges are 5.9191, 5.9191 and 5.9191 Å and the angles 90.00°, 90.00° and 90.00°. The distinct sites, in fractional coordinates, are Mn at (0.0000, 0.0000, 0.0000), P at (0.2500, 0.2500, 0.2500), Os at (0.0000, 0.0000, 0.5000) and Os at (0.2500, 0.2500, 0.7500).

The total magnetic moment comes out at 0.94 μB per formula unit. The total energy comes out at -38.07 eV/f.u. As for the formation energy from the elements: 0.48 eV per atom.



Entry 4:
Entry from Alexandria: a relaxed K2CaBe crystal (PBEsol).

The structure belongs to space group R3m (No. 160, hexagonal axes); the cell edges are 4.3044, 4.3044 and 33.7764 Å and the angles 90.00°, 90.00° and 120.00°. The distinct sites, in fractional coordinates, are K at (0.0000, 0.0000, 0.0000), K at (0.0000, 0.0000, 0.2119), Ca at (0.0000, 0.0000, 0.4419) and Be at (0.0000, 0.0000, 0.7308).

The total magnetic moment comes out at 0.00 μB per formula unit. The total energy comes out at -6.24 eV/f.u. As for the formation energy from the elements: 0.54 eV per atom.



Entry 5:
Entry from Alexandria: a relaxed InIr2W crystal (PBEsol).

The structure belongs to space group P4/mmm (No. 123); the cell edges are 2.8520, 2.8520 and 7.6773 Å and the angles 90.00°, 90.00° and 90.00°. The distinct sites, in fractional coordinates, are In at (0.0000, 0.0000, 0.0000), Ir at (0.5000, 0.5000, 0.2660) and W at (0.0000, 0.0000, 0.5000).

The total magnetic moment comes out at 0.00 μB per formula unit. The total energy comes out at -37.31 eV/f.u. As for the formation energy from the elements: -0.22 eV per atom.



Entry 6:
Entry from Alexandria: a relaxed Cs2SeI crystal (PBEsol).

The structure belongs to space group Fm-3m (No. 225); the cell edges are 8.7623, 8.7623 and 8.7623 Å and the angles 90.00°, 90.00° and 90.00°. The distinct sites, in fractional coordinates, are Cs at (0.2500, 0.2500, 0.2500), Se at (0.0000, 0.0000, 0.0000) and I at (0.0000, 0.0000, 0.5000).

The formation energy without anion corrections comes out at -0.964 eV/atom. The total magnetic moment comes out at 1.01 μB per formula unit. The total energy comes out at -11.36 eV/f.u.